VASP calculation (PBE-GGA) on an optimized crystal structure of Rb2DyAgCl6.

Geometry as POSCAR:
```
Rb2DyAgCl6
1.0
0.000 5.378 5.378
5.378 0.000 5.378
5.378 5.378 0.000
Rb Dy Ag Cl
2 1 1 6
Direct
0.250 0.250 0.250
0.750 0.750 0.750
0.000 0.000 0.000
0.500 0.500 0.500
0.245 0.245 0.755
0.245 0.755 0.245
0.245 0.755 0.755
0.755 0.245 0.245
0.755 0.245 0.755
0.755 0.755 0.245
```

Raw total energy = -38.60 eV for the cell shown
Density = 3.49 g cm⁻³
Excess energy over the best structure of this formula in the dataset = 13.1 meV per atom
DOS(E_F) = 0.00 states/eV/f.u.